[1]
Material: Ca2ZnAs
Method: DFT, PBEsol
State: relaxed

Cell lengths 3.907, 4.368, 6.411 Å; angles 109.92, 107.74, 90.00 degrees
Fractional positions:
1 Zn 0.550 0.550 0.100
2 Ca 0.993 0.993 0.986
3 Ca 0.755 0.255 0.511
4 As 0.202 0.702 0.404

Its space group is Imm2 (44). The value obtained for the energy above the most stable polymorph in this dataset is 69 kJ/mol of formula units. Its formation energy is -2.3 eV per formula unit.

---

[2]
Material: LiCdO2F
Method: DFT, PBEsol
State: relaxed

Cell lengths 3.689, 3.689, 3.694 Å; angles 90.00, 90.00, 90.00 degrees
Fractional positions:
1 O 0.500 0.000 0.000
2 O 0.000 0.500 0.000
3 Cd 0.500 0.500 0.500
4 F 0.000 0.000 0.500
5 Li 0.000 0.000 0.000

The uncorrected formation energy is -4.154 eV/f.u. Its space group is P4/mmm (123).

---

[3]
Material: CsGaCuF6
Method: DFT, PBEsol
State: relaxed

Cell lengths 7.121, 7.274, 7.274 Å; angles 60.72, 60.69, 60.69 degrees
Fractional positions:
1 F 0.069 0.575 0.668
2 F 0.061 0.189 0.689
3 F 0.939 0.811 0.311
4 F 0.320 0.430 0.930
5 F 0.680 0.570 0.070
6 F 0.688 0.575 0.668
7 F 0.931 0.425 0.332
8 F 0.312 0.832 0.925
9 F 0.931 0.832 0.925
10 F 0.688 0.168 0.075
11 F 0.312 0.425 0.332
12 F 0.069 0.168 0.075
13 Cu 0.000 0.500 0.000
14 Cu 0.500 0.500 0.000
15 Ga 0.000 0.500 0.500
16 Ga 0.000 0.000 0.000
17 Cs 0.381 0.869 0.369
18 Cs 0.619 0.131 0.631

The uncorrected formation energy is -21.262 eV/f.u. Its space group is Imma (74).

---

[4]
Material: AlOsSCl2
Method: DFT, PBEsol
State: relaxed

Cell lengths 4.454, 4.454, 4.765 Å; angles 90.00, 90.00, 90.00 degrees
Fractional positions:
1 S 0.000 0.000 0.500
2 Al 0.000 0.000 0.000
3 Os 0.500 0.500 0.500
4 Cl 0.000 0.500 0.000
5 Cl 0.500 0.000 0.000

The uncorrected formation energy is 3.557 eV/f.u. Its space group is P4/mmm (123).

---

Number 1: size of the total moment 0.000 μB per atom. Number 2: size of the total moment 0.400 μB per atom. Number 3: size of the total moment 0.111 μB per atom. Number 4: size of the total moment 0.719 μB per atom.